The following is a PBE-GGA calculation of KGe3F after structural relaxation, from Alexandria via LeMat-Bulk.

Geometry as extended XYZ:
```
5
Lattice="5.7547 0.0000 0.0000 0.0000 5.7547 0.0000 0.0000 0.0000 5.7547" Properties=species:S:1:pos:R:3 pbc="T T T"
K 0.0000 0.0000 0.0000
Ge 0.0000 0.0000 2.8774
Ge 0.0000 2.8774 0.0000
Ge 2.8774 0.0000 0.0000
F 2.8774 2.8774 2.8774
```

* formation energy without anion corrections: 1354.3 meV per atom
* calculated density: 2.40 g/cm³
* DOS at the Fermi energy: 6.5 states/eV per cell